The following is a PBE+U calculation of CoPN2O after structural relaxation, from Alexandria via LeMat-Bulk.

Magnetization   3.629 μB/f.u.
Calculated total energy   -6.002 eV/atom
D(E_F)   0.214 states/eV per atom

a b c (Å): 3.4657 3.4657 3.5809
angles (deg): 90.00 90.00 90.00
With the nearest neighbours (Å) after each atom.
Space group P4/mmm (No. 123)
Unique sites:
Co: 0.0000 0.0000 0.0000 [1 per cell]  4 O 2.45, 8 N 2.49
P: 0.5000 0.5000 0.5000 [1 per cell]  4 N 1.73, 2 O 1.79
N: 0.0000 0.5000 0.5000 [2 per cell]  2 P 1.73
O: 0.5000 0.5000 0.0000 [1 per cell]  2 P 1.79